This record from the Alexandria database describes crystalline La3SnRh3 at its relaxed geometry. The functional is PBE.

DOS(E_F) = 3.73 states/eV/f.u.
E above lowest polymorph = 1.37 eV per formula unit
ΔE_f = -0.576 eV/atom
total magnetic moment = 0.0 Bohr magnetons per cell

Structure (extended XYZ):
```
14
Lattice="8.8675 0.0000 0.0000 -4.4338 7.6795 0.0000 0.0000 0.0000 5.7050" Properties=species:S:1:pos:R:3 pbc="T T T"
La -2.6207 5.3685 1.4262
La 1.0948 2.7257 1.4262
La 2.9079 0.4147 4.2787
La 1.5258 7.2648 1.4262
La 3.3389 4.9538 4.2787
La 7.0545 2.3110 4.2787
Sn 0.0000 5.1197 4.2787
Sn 4.4338 2.5598 1.4262
Rh -2.6162 5.2462 4.2787
Rh 1.1985 2.7907 4.2787
Rh 3.0161 0.3574 1.4262
Rh 1.4177 7.3221 4.2787
Rh 3.2352 4.8888 1.4262
Rh 7.0500 2.4333 1.4262
```

This record from the Alexandria database describes crystalline ScZnIrRh at its relaxed geometry. The functional is PBE.

DOS(E_F) = 1.52 states/eV/f.u.
E above lowest polymorph = 0.00 eV per formula unit
ΔE_f = -0.700 eV/atom
total magnetic moment = 0.0 Bohr magnetons per cell

Structure (extended XYZ):
```
4
Lattice="3.2263 0.0000 0.0000 0.0000 4.3139 0.0000 0.0000 0.0000 4.3710" Properties=species:S:1:pos:R:3 pbc="T T T"
Sc 0.0000 0.0000 0.0000
Zn 0.0000 2.1570 2.1855
Ir 1.6132 0.0000 2.1855
Rh 1.6132 2.1570 0.0000
```

This record from the Alexandria database describes crystalline TlSi2Mo at its relaxed geometry. The functional is PBE.

DOS(E_F) = 2.82 states/eV/f.u.
E above lowest polymorph = 0.02 eV per formula unit
raw formation energy = 158.5 meV/atom
total magnetic moment = 0.0 Bohr magnetons per cell

Structure (extended XYZ):
```
4
Lattice="3.2214 0.0000 0.0000 0.0000 3.2214 0.0000 0.0000 0.0000 7.4069" Properties=species:S:1:pos:R:3 pbc="T T T"
Tl 0.0000 0.0000 0.0000
Si 1.6107 1.6107 2.4561
Si 1.6107 1.6107 4.9508
Mo 0.0000 0.0000 3.7035
```

This record from the Alexandria database describes crystalline Li4Pa3Te8Pd at its relaxed geometry. The functional is PBE.

DOS(E_F) = 21.02 states/eV/f.u.
raw formation energy = -779.7 meV/atom
total magnetic moment = 3.6 Bohr magnetons per cell

Structure (extended XYZ):
```
16
Lattice="4.2257 2.4397 7.1174 -4.2257 2.4397 7.1174 0.0000 -4.8794 7.1174" Properties=species:S:1:pos:R:3 pbc="T T T"
Li 0.0000 0.0000 0.0000
Li -2.1129 -1.2199 7.1174
Li -2.1129 1.2199 14.2348
Li 0.0000 2.4397 7.1174
Pa -4.2257 0.0000 10.6761
Pa -2.1129 1.2199 3.5587
Pa 2.1129 1.2199 3.5587
Te 0.0000 -2.3537 8.8758
Te -2.0384 1.1769 8.8758
Te 0.0000 0.0000 5.4683
Te -2.0384 -1.1769 12.4764
Te 2.0384 1.1768 8.8759
Te 0.0000 0.0000 15.8840
Te 2.0384 -1.1768 12.4764
Te 0.0000 2.3537 12.4764
Pd 0.0000 0.0000 10.6761
```

This record from the Alexandria database describes crystalline Ti2CdIn at its relaxed geometry. The functional is PBE.

DOS(E_F) = 4.76 states/eV/f.u.
ΔE_f = 0.360 eV/atom
total magnetic moment = 0.0 Bohr magnetons per cell

Structure (extended XYZ):
```
8
Lattice="-3.8284 3.8284 2.8310 3.8284 -3.8284 2.8310 3.8284 3.8284 -2.8310" Properties=species:S:1:pos:R:3 pbc="T T T"
Ti 1.9142 1.8953 -0.7078
Ti 1.9331 -1.9142 3.5388
Ti 1.9142 1.9331 2.1233
Ti 1.8953 5.7426 0.7078
Cd 0.0000 0.0000 0.0000
Cd 0.0000 3.8284 1.4155
In 3.8284 0.0000 1.4155
In 0.0000 0.0000 2.8310
```

This record from the Alexandria database describes crystalline Dy11Zn9Cu4 at its relaxed geometry. The functional is PBE.

DOS(E_F) = 18.52 states/eV/f.u.
ΔE_f = -0.299 eV/atom
total magnetic moment = 0.0 Bohr magnetons per cell

Structure (extended XYZ):
```
24
Lattice="6.9370 -10.4069 0.0000 6.9370 10.4069 0.0000 0.0000 0.0000 3.5963" Properties=species:S:1:pos:R:3 pbc="T T T"
Dy 0.0000 0.0000 0.0000
Dy 3.3726 3.5613 0.0000
Dy 6.9370 6.9205 0.0000
Dy 3.9793 0.0000 0.0000
Dy 6.9370 2.8356 0.0000
Dy 3.3726 -3.5613 0.0000
Dy 10.5014 3.5613 0.0000
Dy 6.9370 -2.8356 0.0000
Dy 9.8948 0.0000 0.0000
Dy 6.9370 -6.9205 0.0000
Dy 10.5014 -3.5613 0.0000
Zn 1.9432 1.5320 1.7981
Zn 5.4897 4.9213 1.7981
Zn 1.9432 -1.5320 1.7981
Zn 8.3843 4.9213 1.7981
Zn 6.9370 0.0000 1.7981
Zn 5.4897 -4.9213 1.7981
Zn 11.9308 1.5320 1.7981
Zn 8.3843 -4.9213 1.7981
Zn 11.9308 -1.5320 1.7981
Cu 4.8913 2.0138 1.7981
Cu 4.8913 -2.0138 1.7981
Cu 8.9828 2.0138 1.7981
Cu 8.9828 -2.0138 1.7981
```

This record from the Alexandria database describes crystalline TlSbH3 at its relaxed geometry. The functional is PBE.

DOS(E_F) = 3.18 states/eV/f.u.
E above lowest polymorph = 2.32 eV per formula unit
total magnetic moment = 0.0 Bohr magnetons per cell

Structure (extended XYZ):
```
5
Lattice="4.1440 0.0000 0.0000 0.0000 4.1440 0.0000 0.0000 0.0000 4.1440" Properties=species:S:1:pos:R:3 pbc="T T T"
Tl 0.0000 0.0000 0.0000
Sb 2.0720 2.0720 2.0720
H 0.0000 0.0000 2.0720
H 0.0000 2.0720 0.0000
H 2.0720 0.0000 0.0000
```

This record from the Alexandria database describes crystalline Pm2RuPb at its relaxed geometry. The functional is PBE.

DOS(E_F) = 2.74 states/eV/f.u.
E above lowest polymorph = 0.00 eV per formula unit
ΔE_f = -0.201 eV/atom
total magnetic moment = 0.0 Bohr magnetons per cell

Structure (extended XYZ):
```
4
Lattice="5.0109 0.0000 0.0000 0.0000 5.0109 0.0000 0.0000 0.0000 4.0256" Properties=species:S:1:pos:R:3 pbc="T T T"
Pm 0.0000 2.5055 0.0000
Pm 2.5055 0.0000 0.0000
Ru 0.0000 0.0000 2.0128
Pb 2.5055 2.5055 2.0128
```

This record from the Alexandria database describes crystalline Na4U3GaN8 at its relaxed geometry. The functional is PBE.

DOS(E_F) = 4.21 states/eV/f.u.
raw formation energy = -784.7 meV/atom
total magnetic moment = 1.1 Bohr magnetons per cell

Structure (extended XYZ):
```
16
Lattice="6.0587 -3.3441 0.0000 6.0587 3.3441 0.0000 -3.8231 0.0000 5.6808" Properties=species:S:1:pos:R:3 pbc="T T T"
Na 0.0000 0.0000 0.0000
Na 3.0294 1.6720 0.0000
Na 3.0294 -1.6720 0.0000
Na 6.0587 0.0000 0.0000
U -1.9116 0.0000 2.8404
U 1.1178 1.6720 2.8404
U 1.1178 -1.6720 2.8404
Ga 4.1472 0.0000 2.8404
N 0.0875 0.0000 3.8840
N 3.1344 1.6517 3.8584
N 1.8436 0.0000 1.6909
N 5.1599 1.6517 1.8224
N 3.1344 -1.6517 3.8584
N 6.4507 0.0000 3.9900
N 5.1599 -1.6517 1.8224
N 8.2068 0.0000 1.7969
```

This record from the Alexandria database describes crystalline Sc3Ga8Ni3 at its relaxed geometry. The functional is PBE.

DOS(E_F) = 5.41 states/eV/f.u.
ΔE_f = -0.523 eV/atom
total magnetic moment = 0.0 Bohr magnetons per cell

Structure (extended XYZ):
```
14
Lattice="7.4373 -2.0634 0.0000 7.4373 2.0634 0.0000 -5.3916 0.0000 7.2837" Properties=species:S:1:pos:R:3 pbc="T T T"
Sc 0.0000 0.0000 0.0000
Sc 2.7414 0.0000 2.0345
Sc 6.7414 0.0000 5.2492
Ga -0.2142 0.0000 3.1873
Ga -2.4365 0.0000 6.3391
Ga 1.2881 0.0000 5.3833
Ga 5.5877 0.0000 2.4230
Ga 3.8952 0.0000 4.8607
Ga 8.1948 0.0000 1.9004
Ga 11.9193 0.0000 0.9446
Ga 9.6970 0.0000 4.0964
Ni -2.6958 0.0000 3.6419
Ni -0.1031 0.0000 7.2777
Ni 9.5859 0.0000 0.0060
```

This record from the Alexandria database describes crystalline CdSi at its relaxed geometry. The functional is PBE.

DOS(E_F) = 0.98 states/eV/f.u.
raw formation energy = 488.4 meV/atom
total magnetic moment = 0.0 Bohr magnetons per cell

Structure (extended XYZ):
```
2
Lattice="3.0557 0.0000 0.0000 0.0000 3.0557 0.0000 0.0000 0.0000 4.2107" Properties=species:S:1:pos:R:3 pbc="T T T"
Cd 0.0000 0.0000 0.0000
Si 1.5278 1.5278 2.1053
```

This record from the Alexandria database describes crystalline PuFeH4 at its relaxed geometry. The functional is PBE.

DOS(E_F) = 8.41 states/eV/f.u.
E above lowest polymorph = 0.89 eV per formula unit
total magnetic moment = 12.0 Bohr magnetons per cell

Structure (extended XYZ):
```
12
Lattice="3.0821 -5.1105 0.0000 3.0821 5.1105 0.0000 -2.5953 0.0000 3.3773" Properties=species:S:1:pos:R:3 pbc="T T T"
Pu 1.1356 3.6434 2.5329
Pu 2.4332 -3.6434 0.8443
Fe 2.4332 0.7138 0.8443
Fe 1.1356 -0.7138 2.5329
H 1.5154 1.9902 0.9932
H -0.3028 0.1965 2.6517
H 0.9949 -0.1965 0.9630
H 3.3511 1.9902 0.6954
H 0.2177 -1.9902 2.6818
H 2.5740 0.1965 2.4142
H 3.8716 -0.1965 0.7256
H 2.0535 -1.9902 2.3841
```

This record from the Alexandria database describes crystalline Sm3ZnCu8 at its relaxed geometry. The functional is PBE.

DOS(E_F) = 7.28 states/eV/f.u.
ΔE_f = -0.165 eV/atom
total magnetic moment = 0.0 Bohr magnetons per cell

Structure (extended XYZ):
```
12
Lattice="5.2268 0.0000 0.0000 -2.6134 4.5265 0.0000 0.0000 0.0000 8.4700" Properties=species:S:1:pos:R:3 pbc="T T T"
Sm 0.0000 0.0000 0.0000
Sm 0.0000 0.0000 3.2989
Sm 0.0000 3.0177 7.1201
Zn 0.0000 3.0177 3.9746
Cu -1.2980 2.2683 1.5913
Cu 1.3285 0.7670 5.7615
Cu 1.2980 2.2683 1.5913
Cu 0.0000 4.5165 1.5913
Cu 2.6134 1.5088 3.7005
Cu 2.6134 1.5088 7.9470
Cu 3.8983 0.7670 5.7615
Cu 2.6134 2.9925 5.7615
```

This record from the Alexandria database describes crystalline YCrPt at its relaxed geometry. The functional is PBE.

DOS(E_F) = 1.96 states/eV/f.u.
E above lowest polymorph = 0.35 eV per formula unit
ΔE_f = -0.274 eV/atom
total magnetic moment = 4.4 Bohr magnetons per cell

Structure (extended XYZ):
```
3
Lattice="0.0000 3.2735 3.2735 3.2735 0.0000 3.2735 3.2735 3.2735 0.0000" Properties=species:S:1:pos:R:3 pbc="T T T"
Y 0.0000 0.0000 0.0000
Cr 3.2735 3.2735 3.2735
Pt 4.9102 4.9102 4.9102
```

This record from the Alexandria database describes crystalline InPPdO2 at its relaxed geometry. The functional is PBE.

DOS(E_F) = 2.77 states/eV/f.u.
E above lowest polymorph = 0.00 eV per formula unit
raw formation energy = -298.1 meV/atom
total magnetic moment = 0.0 Bohr magnetons per cell

Structure (extended XYZ):
```
5
Lattice="3.5802 0.0000 0.0000 0.0000 3.5802 0.0000 0.0000 0.0000 6.4066" Properties=species:S:1:pos:R:3 pbc="T T T"
In 0.0000 0.0000 0.0000
P 0.0000 0.0000 3.2033
Pd 1.7901 1.7901 0.0000
O 0.0000 1.7901 3.2033
O 1.7901 0.0000 3.2033
```

This record from the Alexandria database describes crystalline TmMg6Cd at its relaxed geometry. The functional is PBE.

DOS(E_F) = 3.72 states/eV/f.u.
E above lowest polymorph = 0.00 eV per formula unit
ΔE_f = -0.041 eV/atom
total magnetic moment = 0.0 Bohr magnetons per cell

Structure (extended XYZ):
```
8
Lattice="4.8547 0.0000 0.0000 0.0000 4.8547 0.0000 0.0000 0.0000 7.8736" Properties=species:S:1:pos:R:3 pbc="T T T"
Tm 0.0000 0.0000 0.0000
Mg 0.0000 2.4274 2.0878
Mg 0.0000 2.4274 5.7858
Mg 2.4274 0.0000 2.0878
Mg 2.4274 0.0000 5.7858
Mg 2.4274 2.4274 0.0000
Mg 2.4274 2.4274 3.9368
Cd 0.0000 0.0000 3.9368
```

This record from the Alexandria database describes crystalline Ce3ZnRu at its relaxed geometry. The functional is PBE.

DOS(E_F) = 11.88 states/eV/f.u.
E above lowest polymorph = 0.00 eV per formula unit
ΔE_f = -0.245 eV/atom
total magnetic moment = 2.8 Bohr magnetons per cell

Structure (extended XYZ):
```
10
Lattice="0.0000 4.5422 8.0177 3.1709 0.0000 8.0177 3.1709 4.5422 0.0000" Properties=species:S:1:pos:R:3 pbc="T T T"
Ce 3.1709 4.5422 3.2005
Ce 3.1709 2.6817 6.5510
Ce 3.1709 2.6817 9.4844
Ce 3.1709 6.4027 6.5510
Ce 3.1709 6.4027 9.4844
Ce 3.1709 4.5422 12.8349
Zn 5.1205 4.5422 8.0177
Zn 1.2213 4.5422 8.0177
Ru 1.5854 2.2711 4.0088
Ru 4.7563 6.8133 12.0265
```

This record from the Alexandria database describes crystalline LiLa2Co at its relaxed geometry. The functional is PBE.

DOS(E_F) = 4.70 states/eV/f.u.
ΔE_f = 0.096 eV/atom
total magnetic moment = 0.0 Bohr magnetons per cell

Structure (extended XYZ):
```
4
Lattice="3.8398 0.0000 0.0000 0.0000 4.6786 0.0000 -1.8793 0.0000 5.4899" Properties=species:S:1:pos:R:3 pbc="T T T"
Li 0.0000 0.0000 0.0000
La 0.0321 2.3393 4.8210
La 1.9261 0.0000 2.2594
Co 0.0010 2.3393 1.3417
```

This record from the Alexandria database describes crystalline CaCeCdNi at its relaxed geometry. The functional is PBE.

DOS(E_F) = 7.48 states/eV/f.u.
ΔE_f = -0.087 eV/atom
total magnetic moment = 0.8 Bohr magnetons per cell

Structure (extended XYZ):
```
4
Lattice="0.0000 3.6412 3.6412 3.6412 0.0000 3.6412 3.6412 3.6412 0.0000" Properties=species:S:1:pos:R:3 pbc="T T T"
Ca 0.0000 0.0000 0.0000
Ce 3.6412 3.6412 3.6412
Cd 1.8206 1.8206 1.8206
Ni 5.4618 5.4618 5.4618
```

This record from the Alexandria database describes crystalline La2Mn3CuGe4 at its relaxed geometry. The functional is PBE.

DOS(E_F) = 6.31 states/eV/f.u.
ΔE_f = -0.470 eV/atom
total magnetic moment = 8.0 Bohr magnetons per cell

Structure (extended XYZ):
```
10
Lattice="4.1448 0.0000 0.0000 0.0000 4.1448 0.0000 0.0000 0.0000 10.8220" Properties=species:S:1:pos:R:3 pbc="T T T"
La 0.0000 2.0724 2.7033
La 2.0724 0.0000 8.1186
Mn 0.0000 0.0000 0.0000
Mn 0.0000 0.0000 5.4110
Mn 2.0724 2.0724 5.4110
Cu 2.0724 2.0724 0.0000
Ge 0.0000 2.0724 6.7529
Ge 0.0000 2.0724 9.4344
Ge 2.0724 0.0000 1.3876
Ge 2.0724 0.0000 4.0691
```